Record 1
A plane-wave DFT calculation with SCAN was carried out for a PBEsol-optimized structure of NaCr3O8.

Properties
Energy above the most stable polymorph in this dataset = 0.00 eV per formula unit
Raw formation energy = -2.0797 eV per atom

a = 5.0308 Å, b = 5.0308 Å, c = 6.8180 Å
α = 90.24°, β = 90.24°, γ = 65.46°
Last column: nearest neighbours and their distance in Å.
Atoms (fractional coordinates):
Na 0.0000 0.0000 0.0000  6 O 2.43-2.45
Cr 0.0000 0.0000 0.5000  6 O 1.89-1.93
Cr 0.3588 0.3588 0.7242  4 O 1.60-1.69
Cr 0.6412 0.6412 0.2758  4 O 1.60-1.69
O 0.2153 0.7258 0.7007  1 Cr 1.69
O 0.2192 0.2192 0.5548  1 Cr 1.65
O 0.2742 0.7847 0.2993  1 Cr 1.69
O 0.2828 0.2828 0.9384  1 Cr 1.60
O 0.7172 0.7172 0.0616  1 Cr 1.60
O 0.7258 0.2153 0.7007  1 Cr 1.69
O 0.7808 0.7808 0.4452  1 Cr 1.65
O 0.7847 0.2742 0.2993  1 Cr 1.69

=====

Record 2
A plane-wave DFT calculation with SCAN was carried out for a PBEsol-optimized structure of Na2CrO4.

Properties
Raw formation energy = -2.0957 eV per atom

a = 5.4533 Å, b = 5.4533 Å, c = 7.0989 Å
α = 90.00°, β = 90.00°, γ = 115.22°
Last column: nearest neighbours and their distance in Å.
Atoms (fractional coordinates):
Na 0.0000 0.0000 0.0000  6 O 2.35-2.40
Na 0.0000 0.0000 0.5000  6 O 2.35-2.40
Na 0.3158 0.6842 0.7500  4 O 2.30-2.47
Na 0.6842 0.3158 0.2500  4 O 2.30-2.47
Cr 0.3538 0.6462 0.2500  4 O 1.64-1.66
Cr 0.6462 0.3538 0.7500  4 O 1.64-1.66
O 0.2284 0.3109 0.2500  1 Cr 1.66
O 0.2505 0.7495 0.0623  1 Cr 1.64
O 0.2505 0.7495 0.4377  1 Cr 1.64
O 0.3109 0.2284 0.7500  1 Cr 1.66
O 0.6891 0.7716 0.2500  1 Cr 1.66
O 0.7495 0.2505 0.5623  1 Cr 1.64
O 0.7495 0.2505 0.9377  1 Cr 1.64
O 0.7716 0.6891 0.7500  1 Cr 1.66

=====

Record 3
A plane-wave DFT calculation with SCAN was carried out for a PBEsol-optimized structure of Na3CrO4.

Properties
Raw formation energy = -2.0226 eV per atom

a = 12.2019 Å, b = 7.0416 Å, c = 5.5548 Å
α = 90.00°, β = 90.00°, γ = 90.00°
Last column: nearest neighbours and their distance in Å.
Atoms (fractional coordinates):
Na 0.0731 0.2500 0.2216  4 O 2.24-2.37
Na 0.1632 0.0033 0.7853  4 O 2.23-2.33
Na 0.1632 0.4967 0.7853  4 O 2.23-2.33
Na 0.3368 0.5033 0.2853  4 O 2.23-2.33
Na 0.3368 0.9967 0.2853  4 O 2.23-2.33
Na 0.4269 0.7500 0.7216  4 O 2.24-2.37
Na 0.5731 0.2500 0.2784  4 O 2.24-2.37
Na 0.6632 0.0033 0.7147  4 O 2.23-2.33
Na 0.6632 0.4967 0.7147  4 O 2.23-2.33
Na 0.8368 0.5033 0.2147  4 O 2.23-2.33
Na 0.8368 0.9967 0.2147  4 O 2.23-2.33
Na 0.9269 0.7500 0.7784  4 O 2.24-2.37
Cr 0.0900 0.7500 0.2959  4 O 1.70-1.71
Cr 0.4100 0.2500 0.7959  4 O 1.70-1.71
Cr 0.5900 0.7500 0.2041  4 O 1.70-1.71
Cr 0.9100 0.2500 0.7041  4 O 1.70-1.71
O 0.0426 0.2500 0.8001  1 Cr 1.70
O 0.0923 0.7500 0.6018  1 Cr 1.70
O 0.1557 0.5502 0.1981  1 Cr 1.71
O 0.1557 0.9498 0.1981  1 Cr 1.71
O 0.3443 0.0502 0.6981  1 Cr 1.71
O 0.3443 0.4498 0.6981  1 Cr 1.71
O 0.4077 0.2500 0.1018  1 Cr 1.70
O 0.4574 0.7500 0.3001  1 Cr 1.70
O 0.5426 0.2500 0.6999  1 Cr 1.70
O 0.5923 0.7500 0.8982  1 Cr 1.70
O 0.6557 0.5502 0.3019  1 Cr 1.71
O 0.6557 0.9498 0.3019  1 Cr 1.71
O 0.8443 0.0502 0.8019  1 Cr 1.71
O 0.8443 0.4498 0.8019  1 Cr 1.71
O 0.9077 0.2500 0.3982  1 Cr 1.70
O 0.9574 0.7500 0.1999  1 Cr 1.70

=====

no.,total magnetic moment (μB/cell)
1,3.0
2,0.0
3,4.0